# 1
Pr3Tl4SnS8: optimized geometry, GGA-PBE.

Cell: 8.3485 8.8956 8.3482 Å, 118.00 120.00 90.00°
Closest atoms and distances in Å follow each position.
Element x y z (fractional)
Pr 0.5000 0.5000 0.5000  6 S 2.86-2.88
Pr 0.0000 0.5000 0.5000  6 S 2.86-2.88
Pr 0.5000 0.5000 0.0000  6 S 2.86-2.88
S 0.7357 0.7070 0.4714  3 Pr 2.86
S 0.7712 0.2976 0.0263  1 Sn 2.78, 2 Pr 2.88
S 0.2643 0.2930 0.5286  3 Pr 2.86
S 0.7711 0.2975 0.5422  1 Sn 2.78, 2 Pr 2.88
S 0.2288 0.7024 0.9737  1 Sn 2.78, 2 Pr 2.88
S 0.2289 0.7025 0.4578  1 Sn 2.78, 2 Pr 2.88
S 0.2551 0.2976 0.0263  1 Sn 2.78, 2 Pr 2.88
S 0.7449 0.7024 0.9737  1 Sn 2.78, 2 Pr 2.88
Tl 0.0000 0.0000 0.5000  6 S 3.25-3.26
Tl 0.5000 0.0000 0.5000  6 S 3.25-3.26
Tl 0.5000 0.0000 0.0000  6 S 3.33-3.34
Tl 0.0000 0.0000 0.0000  6 S 3.25-3.26
Sn 0.0000 0.5000 0.0000  6 S 2.78

Raw formation energy ... -1.16 eV/atom

---

# 2
PrTl2SnS4: optimized geometry, GGA-PBE.

Cell: 4.0914 7.8261 7.1931 Å, 72.32 90.00 90.00°
Closest atoms and distances in Å follow each position.
Element x y z (fractional)
S 0.0000 0.7029 0.7737  2 Sn 2.79, 1 Pr 2.88
S 0.0000 0.2971 0.2263  2 Sn 2.79, 1 Pr 2.88
S 0.5000 0.2966 0.7460  1 Sn 2.76, 2 Pr 2.85
S 0.5000 0.7034 0.2540  1 Sn 2.76, 2 Pr 2.85
Pr 0.0000 0.5000 0.5000  6 S 2.85-2.88
Sn 0.5000 0.5000 0.0000  6 S 2.76-2.79
Tl 0.5000 0.0000 0.5000  6 S 3.27-3.32
Tl 0.0000 0.0000 0.0000  6 S 3.21-3.22

Raw formation energy ... -0.88 eV/atom

---

# 3
Sr3PrS4: optimized geometry, GGA-PBE.

Cell: 4.2129 7.3288 7.3288 Å, 109.34 90.00 90.00°
Closest atoms and distances in Å follow each position.
Element x y z (fractional)
Sr 0.0000 0.5000 0.0000  6 S 2.99
Sr 0.0000 0.0000 0.5000  6 S 2.99
Sr 0.5000 0.5000 0.5000  6 S 3.03-3.04
Pr 0.5000 0.0000 0.0000  6 S 2.94-2.95
S 0.5000 0.7545 0.2455  1 Pr 2.94, 5 Sr 2.99-3.04
S 0.0000 0.7569 0.7569  2 Pr 2.95, 4 Sr 2.99-3.03
S 0.5000 0.2455 0.7545  1 Pr 2.94, 5 Sr 2.99-3.04
S 0.0000 0.2431 0.2431  2 Pr 2.95, 4 Sr 2.99-3.03

Raw formation energy ... -2.08 eV/atom

---

# 4
SrPrS2: optimized geometry, GGA-PBE.

Cell: 4.0777 4.0777 7.3472 Å, 90.00 90.00 120.00°
Closest atoms and distances in Å follow each position.
Element x y z (fractional)
S 0.6667 0.8333 0.7567  3 Pr 2.96, 3 Sr 3.02
S 0.3333 0.1667 0.2433  3 Pr 2.96, 3 Sr 3.02
Sr 0.0000 0.5000 0.5000  6 S 3.02
Pr 0.0000 0.5000 0.0000  6 S 2.96

Raw formation energy ... -1.92 eV/atom